A plane-wave DFT calculation with PBE-GGA was carried out for an optimized crystal structure of BaLi2TeO4.

Lattice parameters (Å, degrees): 5.6953 5.6953 7.5091 90.00 90.00 90.00
Space group I-42m (No. 121)
Unique sites:
Ba1 0.0000 0.0000 0.0000 (multiplicity 2)
Li1 0.0000 0.5000 0.2500 (multiplicity 4)
Te1 0.0000 0.0000 0.5000 (multiplicity 2)
O1 0.2058 0.2058 0.3340 (multiplicity 8)

Computed properties:
DOS(E_F): 0.00 states/eV/cell
raw formation energy: -1.715 eV per atom